This record from OQMD via LeMat-Bulk describes a relaxed structure of Li4Ga2CuAg. The functional is PBE-GGA.

a = 4.3062 Å, b = 4.3062 Å, c = 6.1402 Å
α = 90.00°, β = 90.00°, γ = 90.00°
Space group P-4m2 (No. 115)
Unique sites:
1 Li 0.0000 0.0000 0.0000 [1 per cell]
2 Li 0.0000 0.5000 0.7402 [2 per cell]
3 Li 0.5000 0.5000 0.5000 [1 per cell]
4 Ga 0.0000 0.5000 0.2706 [2 per cell]
5 Cu 0.0000 0.0000 0.5000 [1 per cell]
6 Ag 0.5000 0.5000 0.0000 [1 per cell]

Values from the calculation:
calculated total energy	-2.81	eV per atom



This record from OQMD via LeMat-Bulk describes a relaxed structure of BeCuTcGe. The functional is PBE-GGA.

a = 5.8391 Å, b = 5.8391 Å, c = 5.8391 Å
α = 90.00°, β = 90.00°, γ = 90.00°
Space group F-43m (No. 216)
Unique sites:
1 Be 0.0000 0.0000 0.0000 [4 per cell]
2 Cu 0.2500 0.2500 0.7500 [4 per cell]
3 Tc 0.2500 0.2500 0.2500 [4 per cell]
4 Ge 0.0000 0.0000 0.5000 [4 per cell]

Values from the calculation:
calculated total energy	-5.52	eV per atom
M_tot	0.00	μB per formula unit
energy relative to the lowest polymorph listed for this composition	0.000	eV/atom



This record from OQMD via LeMat-Bulk describes a relaxed structure of SrTcAs2. The functional is PBE-GGA.

a = 6.8355 Å, b = 6.8355 Å, c = 6.8355 Å
α = 90.00°, β = 90.00°, γ = 90.00°
Space group F-43m (No. 216)
Unique sites:
1 Sr 0.0000 0.0000 0.0000 [4 per cell]
2 Tc 0.2500 0.2500 0.7500 [4 per cell]
3 As 0.0000 0.0000 0.5000 [4 per cell]
4 As 0.2500 0.2500 0.2500 [4 per cell]

Values from the calculation:
calculated total energy	-4.86	eV per atom
M_tot	0.02	μB per formula unit
energy relative to the lowest polymorph listed for this composition	0.972	eV/atom



This record from OQMD via LeMat-Bulk describes a relaxed structure of TbHf2Pb2. The functional is PBE-GGA.

a = 4.4157 Å, b = 4.4157 Å, c = 13.3458 Å
α = 90.00°, β = 90.00°, γ = 90.00°
Space group I4/mmm (No. 139)
Unique sites:
1 Tb 0.0000 0.0000 0.0000 [2 per cell]
2 Hf 0.0000 0.5000 0.2500 [4 per cell]
3 Pb 0.0000 0.0000 0.3937 [4 per cell]

Values from the calculation:
calculated total energy	-6.41	eV per atom
M_tot	0.01	μB per formula unit
energy relative to the lowest polymorph listed for this composition	0.000	eV/atom



This record from OQMD via LeMat-Bulk describes a relaxed structure of K3TbI6. The functional is PBE-GGA.

a = 8.9492 Å, b = 8.9492 Å, c = 21.3088 Å
α = 90.00°, β = 90.00°, γ = 120.00°
Space group R-3 (No. 148, hexagonal axes)
Unique sites:
1 K 0.0000 0.0000 0.0000 [3 per cell]
2 K 0.0000 0.0000 0.2870 [6 per cell]
3 Tb 0.0000 0.0000 0.5000 [3 per cell]
4 I 0.0327 0.7398 0.5833 [18 per cell]

Values from the calculation:
calculated total energy	-3.17	eV per atom
M_tot	0.00	μB per formula unit



This record from OQMD via LeMat-Bulk describes a relaxed structure of RbMgW. The functional is PBE-GGA.

a = 7.5544 Å, b = 7.5544 Å, c = 7.5544 Å
α = 90.00°, β = 90.00°, γ = 90.00°
Space group F-43m (No. 216)
Unique sites:
1 Rb 0.0000 0.0000 0.0000 [4 per cell]
2 Mg 0.2500 0.2500 0.2500 [4 per cell]
3 W 0.0000 0.0000 0.5000 [4 per cell]

Values from the calculation:
calculated total energy	-3.07	eV per atom
M_tot	4.68	μB per formula unit
energy relative to the lowest polymorph listed for this composition	0.000	eV/atom



This record from OQMD via LeMat-Bulk describes a relaxed structure of Co9W4. The functional is PBE-GGA.

a = 4.6659 Å, b = 4.6659 Å, c = 25.0119 Å
α = 90.00°, β = 90.00°, γ = 120.00°
Space group R-3m (No. 166, hexagonal axes)
Unique sites:
1 Co 0.0000 0.0000 0.0000 [3 per cell]
2 Co 0.0000 0.0000 0.4536 [6 per cell]
3 Co 0.0037 0.5019 0.4112 [18 per cell]
4 W 0.0000 0.0000 0.1657 [6 per cell]
5 W 0.0000 0.0000 0.3530 [6 per cell]

Values from the calculation:
calculated total energy	-8.89	eV per atom
formation energy	0.0209	eV per atom
M_tot	8.94	μB per formula unit
energy relative to the lowest polymorph listed for this composition	0.000	eV/atom



This record from OQMD via LeMat-Bulk describes a relaxed structure of CsSbAsIr2. The functional is PBE-GGA.

a = 4.1341 Å, b = 4.1341 Å, c = 15.4348 Å
α = 90.00°, β = 90.00°, γ = 90.00°
Space group I4mm (No. 107)
Unique sites:
1 Cs 0.0000 0.0000 0.0000 [2 per cell]
2 Sb 0.0000 0.0000 0.6645 [2 per cell]
3 As 0.0000 0.0000 0.3563 [2 per cell]
4 Ir 0.0000 0.5000 0.2700 [4 per cell]

Values from the calculation:
calculated total energy	-5.86	eV per atom
M_tot	0.01	μB per formula unit



This record from OQMD via LeMat-Bulk describes a relaxed structure of TcO2. The functional is PBE-GGA.

a = 3.1249 Å, b = 3.1249 Å, c = 8.4164 Å
α = 90.00°, β = 90.00°, γ = 120.00°
Space group P6_3mc (No. 186)
Unique sites:
1 Tc 0.3333 0.6667 0.0000 [2 per cell]
2 O 0.0000 0.0000 0.3872 [2 per cell]
3 O 0.3333 0.6667 0.6141 [2 per cell]

Values from the calculation:
calculated total energy	-7.82	eV per atom
M_tot	2.86	μB per formula unit
energy relative to the lowest polymorph listed for this composition	0.355	eV/atom